Ce2Sm5Dy6 | GGA-PBE | relaxed

Crystal system: orthorhombic
DOS at the Fermi energy (states/eV/f.u.): 22.34
Energy relative to the elements (eV per atom): 0.13

Unit cell a=3.562 b=11.467 c=20.871 alpha=90.00 beta=90.00 gamma=90.00
Sites, in units of the cell vectors:
Dy: 0.000 0.435 0.853
Ce: 0.000 0.808 0.235
Dy: 0.000 0.565 0.147
Dy: 0.500 0.685 0.875
Dy: 0.000 0.935 0.647
Dy: 0.000 0.065 0.353
Sm: 0.500 0.439 0.706
Ce: 0.000 0.192 0.765
Sm: 0.500 0.311 0.421
Sm: 0.500 0.811 0.079
Sm: 0.500 0.939 0.794
Dy: 0.500 0.185 0.625
Dy: 0.000 0.084 0.062
Ce: 0.000 0.692 0.735
Sm: 0.500 0.000 0.500
Sm: 0.500 0.189 0.921
Ce: 0.000 0.308 0.265
Dy: 0.500 0.815 0.375
Dy: 0.000 0.916 0.938
Sm: 0.500 0.500 0.000
Sm: 0.500 0.689 0.579
Sm: 0.500 0.561 0.294
Dy: 0.500 0.315 0.125
Sm: 0.500 0.061 0.206
Dy: 0.000 0.584 0.438
Dy: 0.000 0.416 0.562

***

Ce2SmDy | GGA-PBE | relaxed

Crystal system: trigonal
DOS at the Fermi energy (states/eV/f.u.): 10.73
Energy relative to the elements (eV per atom): 0.24
Excess energy over the best structure of this formula in the dataset (meV per atom): 137

Unit cell a=3.377 b=3.377 c=12.487 alpha=82.23 beta=82.23 gamma=60.00
Sites, in units of the cell vectors:
Ce: 0.085 0.085 0.745
Ce: 0.915 0.915 0.255
Dy: 0.000 0.000 0.000
Sm: 0.500 0.500 0.500